No. 1
Density functional theory data (PBE) for a geometry-optimized Zr2CrW structure.

Cell: 4.729 4.729 3.313 Å, 90.00 90.00 90.00°
Site moments in Bohr magnetons follow the coordinates.
Positions (direct):
Zr1 0.000 0.000 0.000  -0.07
Zr2 0.500 0.500 0.000  -0.07
Cr1 0.500 0.000 0.500  2.35
W1 0.000 0.500 0.500  -0.02

Calculated values
The energy above the most stable polymorph in this dataset comes out at 0.089 eV/atom. The uncorrected energy comes out at -9.71 eV/atom. As for the formation energy: 0.21 eV/atom. Its space group is No. 123. The value obtained for the magnetic moment is 0.59 μB/atom.

=====

No. 2
Density functional theory data (PBE) for a geometry-optimized Tb6Ga2Ir structure.

Cell: 5.982 8.440 9.674 Å, 90.00 86.16 90.00°
Positions (direct):
Tb1 0.889 0.681 0.556
Tb2 0.392 0.530 0.734
Tb3 0.611 0.181 0.944
Tb4 0.608 0.470 0.266
Tb5 0.108 0.030 0.766
Tb6 0.397 0.828 0.440
Tb7 0.897 0.672 0.940
Tb8 0.103 0.328 0.060
Tb9 0.389 0.819 0.056
Tb10 0.892 0.970 0.234
Tb11 0.111 0.319 0.444
Tb12 0.603 0.172 0.560
Ir1 0.000 0.000 0.500
Ir2 0.500 0.500 0.000
Ga1 0.921 0.375 0.753
Ga2 0.079 0.625 0.247
Ga3 0.579 0.875 0.747
Ga4 0.421 0.125 0.253

Calculated values
The uncorrected energy comes out at -5.17 eV/atom. As for the formation energy: -0.43 eV/atom. Its space group is No. 14. The value obtained for the magnetic moment is 0.00 μB/atom.